# 1
Computed, not measured: an optimized crystal structure of Nd6MgTl5 at the GGA-PBE level of DFT.

Geometry as CIF:
```
data_Nd6MgTl5
_chemical_formula_sum 'Nd12 Mg2 Tl10'
_cell_length_a 5.521
_cell_length_b 7.794
_cell_length_c 16.588
_cell_angle_alpha 90.00
_cell_angle_beta 90.00
_cell_angle_gamma 90.00
_space_group_name_H-M_alt 'I m m m'
_space_group_IT_number 71
_space_group_name_Hall '-I 2 2'
loop_
_atom_site_label
_atom_site_type_symbol
_atom_site_fract_x
_atom_site_fract_y
_atom_site_fract_z
Nd1 Nd 0.000 0.245 0.000
Nd2 Nd 0.000 0.252 0.332
Mg1 Mg 0.000 0.000 0.500
Tl1 Tl 0.000 0.000 0.167
Tl2 Tl 0.000 0.500 0.159
Tl3 Tl 0.000 0.500 0.500
```

Calculated total energy, eV/atom: -3.852
Formation energy, meV/atom: -350
Volume, Å³ per cell: 713.8
M_tot, μB/f.u.: 0.00

***

# 2
Computed, not measured: an optimized crystal structure of Nd3MgTl2 at the GGA-PBE level of DFT.

Geometry as CIF:
```
data_Nd3MgTl2
_chemical_formula_sum 'Nd3 Mg1 Tl2'
_cell_length_a 3.867
_cell_length_b 3.867
_cell_length_c 11.901
_cell_angle_alpha 90.00
_cell_angle_beta 90.00
_cell_angle_gamma 90.00
_space_group_name_H-M_alt 'P 4/m m m'
_space_group_IT_number 123
_space_group_name_Hall '-P 4 2'
loop_
_atom_site_label
_atom_site_type_symbol
_atom_site_fract_x
_atom_site_fract_y
_atom_site_fract_z
Nd1 Nd 0.000 0.000 0.000
Nd2 Nd 0.000 0.000 0.339
Mg1 Mg 0.500 0.500 0.500
Tl1 Tl 0.500 0.500 0.174
```

Calculated total energy, eV/atom: -3.733
E above lowest polymorph, meV per atom: 11.7
Formation energy, meV/atom: -294
Volume, Å³ per cell: 178.0
M_tot, μB/f.u.: 0.00

***

# 3
Computed, not measured: an optimized crystal structure of Nd9MgTl2 at the GGA-PBE level of DFT.

Geometry as CIF:
```
data_Nd9MgTl2
_chemical_formula_sum 'Nd9 Mg1 Tl2'
_cell_length_a 5.011
_cell_length_b 5.011
_cell_length_c 15.011
_cell_angle_alpha 90.00
_cell_angle_beta 90.00
_cell_angle_gamma 90.00
_space_group_name_H-M_alt 'P 4/m m m'
_space_group_IT_number 123
_space_group_name_Hall '-P 4 2'
loop_
_atom_site_label
_atom_site_type_symbol
_atom_site_fract_x
_atom_site_fract_y
_atom_site_fract_z
Nd1 Nd 0.000 0.000 0.000
Nd2 Nd 0.000 0.000 0.332
Nd3 Nd 0.000 0.500 0.168
Nd4 Nd 0.000 0.500 0.500
Mg1 Mg 0.500 0.500 0.000
Tl1 Tl 0.500 0.500 0.335
```

Calculated total energy, eV/atom: -4.239
Formation energy, meV/atom: -136
Volume, Å³ per cell: 377.0
M_tot, μB/f.u.: 0.02

***

# 4
Computed, not measured: an optimized crystal structure of Nd6MgTl at the GGA-PBE level of DFT.

Geometry as CIF:
```
data_Nd6MgTl
_chemical_formula_sum 'Nd6 Mg1 Tl1'
_cell_length_a 6.374
_cell_length_b 6.378
_cell_length_c 6.379
_cell_angle_alpha 90.39
_cell_angle_beta 90.52
_cell_angle_gamma 90.72
_space_group_name_H-M_alt 'P -1'
_space_group_IT_number 2
loop_
_space_group_symop_operation_xyz
'x,y,z'
'-x,-y,-z'
loop_
_atom_site_label
_atom_site_type_symbol
_atom_site_fract_x
_atom_site_fract_y
_atom_site_fract_z
Nd1 Nd 0.011 0.247 0.025
Nd2 Nd 0.254 0.976 0.480
Nd3 Nd 0.477 0.479 0.754
Mg1 Mg 0.000 0.500 0.500
Tl1 Tl 0.500 0.000 0.000
```

Calculated total energy, eV/atom: -4.114
E above lowest polymorph, meV per atom: 57.7
Formation energy, meV/atom: -43
Volume, Å³ per cell: 259.3
M_tot, μB/f.u.: 0.00

***

# 5
Computed, not measured: an optimized crystal structure of Nd6MgTl2 at the GGA-PBE level of DFT.

Geometry as CIF:
```
data_Nd6MgTl2
_chemical_formula_sum 'Nd12 Mg2 Tl4'
_cell_length_a 16.368
_cell_length_b 7.803
_cell_length_c 5.264
_cell_angle_alpha 90.00
_cell_angle_beta 105.70
_cell_angle_gamma 90.00
_space_group_name_H-M_alt 'C 1 2/m 1'
_space_group_IT_number 12
loop_
_space_group_symop_operation_xyz
'x,y,z'
'-x,-y,-z'
'-x,y,-z'
'x,-y,z'
'x+1/2,y+1/2,z'
'-x+1/2,-y+1/2,-z'
'-x+1/2,y+1/2,-z'
'x+1/2,-y+1/2,z'
loop_
_atom_site_label
_atom_site_type_symbol
_atom_site_fract_x
_atom_site_fract_y
_atom_site_fract_z
Nd1 Nd 0.000 0.250 0.000
Nd2 Nd 0.167 0.250 0.669
Mg1 Mg 0.000 0.000 0.500
Tl1 Tl 0.166 0.500 0.168
```

Calculated total energy, eV/atom: -3.797
Formation energy, meV/atom: 84
Volume, Å³ per cell: 647.3
M_tot, μB/f.u.: 0.00

***

# 6
Computed, not measured: an optimized crystal structure of NdTmMgTl at the GGA-PBE level of DFT.

Geometry as CIF:
```
data_NdTmMgTl
_chemical_formula_sum 'Nd4 Tm4 Mg4 Tl4'
_cell_length_a 7.627
_cell_length_b 7.627
_cell_length_c 7.627
_cell_angle_alpha 90.00
_cell_angle_beta 90.00
_cell_angle_gamma 90.00
_space_group_name_H-M_alt 'F -4 3 m'
_space_group_IT_number 216
_space_group_name_Hall 'F -4 2 3'
loop_
_atom_site_label
_atom_site_type_symbol
_atom_site_fract_x
_atom_site_fract_y
_atom_site_fract_z
Nd1 Nd 0.000 0.000 0.000
Tm1 Tm 0.000 0.000 0.500
Mg1 Mg 0.250 0.250 0.250
Tl1 Tl 0.250 0.250 0.750
```

Calculated total energy, eV/atom: -3.528
Formation energy, meV/atom: -228
Volume, Å³ per cell: 443.7
M_tot, μB/f.u.: 0.00